BeHg2Se after structural relaxation. Source: Alexandria via LeMat-Bulk, functional PBE-GGA.

Computed properties:
**Uncorrected formation energy**: 0.50 eV per atom
**Magnetic moment**: 0.00 μB/f.u.
**Relative energy among the computed polymorphs**: 0.7693 eV per atom

```
data_BeHg2Se
_chemical_formula_sum 'Be1 Hg2 Se1'
_cell_length_a 4.0430
_cell_length_b 4.0430
_cell_length_c 5.3562
_cell_angle_alpha 90.00
_cell_angle_beta 90.00
_cell_angle_gamma 90.00
_space_group_name_H-M_alt 'P 1'
_space_group_IT_number 1
loop_
_space_group_symop_operation_xyz
'x,y,z'
loop_
_atom_site_label
_atom_site_type_symbol
_atom_site_fract_x
_atom_site_fract_y
_atom_site_fract_z
_atom_site_occupancy
Be1 Be 0.0000 0.0000 0.0000 1
Hg1 Hg 0.5000 0.5000 0.2464 1
Hg2 Hg 0.5000 0.5000 0.7536 1
Se1 Se 0.0000 0.0000 0.5000 1
```



BeHg2Se after structural relaxation. Source: Alexandria via LeMat-Bulk, functional PBE-GGA.

Computed properties:
**Uncorrected formation energy**: 0.42 eV per atom
**Magnetic moment**: 0.00 μB/f.u.
**Relative energy among the computed polymorphs**: 0.6964 eV per atom

```
data_BeHg2Se
_chemical_formula_sum 'Be1 Hg2 Se1'
_cell_length_a 3.0309
_cell_length_b 3.0309
_cell_length_c 8.7216
_cell_angle_alpha 90.00
_cell_angle_beta 90.00
_cell_angle_gamma 90.00
_space_group_name_H-M_alt 'P 1'
_space_group_IT_number 1
loop_
_space_group_symop_operation_xyz
'x,y,z'
loop_
_atom_site_label
_atom_site_type_symbol
_atom_site_fract_x
_atom_site_fract_y
_atom_site_fract_z
_atom_site_occupancy
Be1 Be 0.0000 0.0000 0.0000 1
Hg1 Hg 0.5000 0.5000 0.1890 1
Hg2 Hg 0.5000 0.5000 0.8110 1
Se1 Se 0.0000 0.0000 0.5000 1
```



Be2HgSe after structural relaxation. Source: Alexandria via LeMat-Bulk, functional PBE-GGA.

Computed properties:
**Uncorrected formation energy**: 0.21 eV per atom
**Magnetic moment**: 0.00 μB/f.u.
**Relative energy among the computed polymorphs**: 0.1771 eV per atom

```
data_Be2HgSe
_chemical_formula_sum 'Be6 Hg3 Se3'
_cell_length_a 3.5057
_cell_length_b 3.5057
_cell_length_c 20.3545
_cell_angle_alpha 90.00
_cell_angle_beta 90.00
_cell_angle_gamma 120.00
_space_group_name_H-M_alt 'P 1'
_space_group_IT_number 1
loop_
_space_group_symop_operation_xyz
'x,y,z'
loop_
_atom_site_label
_atom_site_type_symbol
_atom_site_fract_x
_atom_site_fract_y
_atom_site_fract_z
_atom_site_occupancy
Be1 Be 0.0000 0.0000 0.0000 1
Be2 Be 0.0000 0.0000 0.2632 1
Be3 Be 0.3333 0.6667 0.6667 1
Be4 Be 0.3333 0.6667 0.9299 1
Be5 Be 0.6667 0.3333 0.3333 1
Be6 Be 0.6667 0.3333 0.5965 1
Hg1 Hg 0.0000 0.0000 0.7416 1
Hg2 Hg 0.3333 0.6667 0.4083 1
Hg3 Hg 0.6667 0.3333 0.0749 1
Se1 Se 0.0000 0.0000 0.5542 1
Se2 Se 0.3333 0.6667 0.2209 1
Se3 Se 0.6667 0.3333 0.8876 1
```



Be2HgSe after structural relaxation. Source: Alexandria via LeMat-Bulk, functional PBE-GGA.

Computed properties:
**Uncorrected formation energy**: 0.04 eV per atom
**Magnetic moment**: 0.00 μB/f.u.
**Relative energy among the computed polymorphs**: 0.0000 eV per atom

```
data_Be2HgSe
_chemical_formula_sum 'Be2 Hg1 Se1'
_cell_length_a 4.1818
_cell_length_b 3.3956
_cell_length_c 5.2066
_cell_angle_alpha 90.00
_cell_angle_beta 90.16
_cell_angle_gamma 90.00
_space_group_name_H-M_alt 'P 1'
_space_group_IT_number 1
loop_
_space_group_symop_operation_xyz
'x,y,z'
loop_
_atom_site_label
_atom_site_type_symbol
_atom_site_fract_x
_atom_site_fract_y
_atom_site_fract_z
_atom_site_occupancy
Be1 Be 0.0000 0.0000 0.0000 1
Be2 Be 0.0043 0.5000 0.3323 1
Hg1 Hg 0.5028 0.5000 0.0722 1
Se1 Se 0.0076 0.0000 0.5805 1
```



BeHgSe2 after structural relaxation. Source: Alexandria via LeMat-Bulk, functional PBE-GGA.

Computed properties:
**Uncorrected formation energy**: 0.25 eV per atom
**Magnetic moment**: 0.00 μB/f.u.
**Relative energy among the computed polymorphs**: 0.7165 eV per atom

```
data_BeHgSe2
_chemical_formula_sum 'Be1 Hg1 Se2'
_cell_length_a 3.2667
_cell_length_b 3.2667
_cell_length_c 7.9234
_cell_angle_alpha 90.00
_cell_angle_beta 90.00
_cell_angle_gamma 90.00
_space_group_name_H-M_alt 'P 1'
_space_group_IT_number 1
loop_
_space_group_symop_operation_xyz
'x,y,z'
loop_
_atom_site_label
_atom_site_type_symbol
_atom_site_fract_x
_atom_site_fract_y
_atom_site_fract_z
_atom_site_occupancy
Be1 Be 0.0000 0.0000 0.0000 1
Hg1 Hg 0.0000 0.0000 0.5000 1
Se1 Se 0.5000 0.5000 0.1576 1
Se2 Se 0.5000 0.5000 0.8424 1
```



BeHgSe2 after structural relaxation. Source: Alexandria via LeMat-Bulk, functional PBE-GGA.

Computed properties:
**Uncorrected formation energy**: -0.18 eV per atom
**Magnetic moment**: 0.00 μB/f.u.
**Relative energy among the computed polymorphs**: 0.2943 eV per atom

```
data_BeHgSe2
_chemical_formula_sum 'Be3 Hg3 Se6'
_cell_length_a 3.7793
_cell_length_b 3.7793
_cell_length_c 22.2491
_cell_angle_alpha 90.00
_cell_angle_beta 90.00
_cell_angle_gamma 120.00
_space_group_name_H-M_alt 'P 1'
_space_group_IT_number 1
loop_
_space_group_symop_operation_xyz
'x,y,z'
loop_
_atom_site_label
_atom_site_type_symbol
_atom_site_fract_x
_atom_site_fract_y
_atom_site_fract_z
_atom_site_occupancy
Be1 Be 0.0000 0.0000 0.0000 1
Be2 Be 0.3333 0.6667 0.6667 1
Be3 Be 0.6667 0.3333 0.3333 1
Hg1 Hg 0.0000 0.0000 0.5000 1
Hg2 Hg 0.3333 0.6667 0.1667 1
Hg3 Hg 0.6667 0.3333 0.8333 1
Se1 Se 0.0000 0.0000 0.3866 1
Se2 Se 0.0000 0.0000 0.6134 1
Se3 Se 0.3333 0.6667 0.0532 1
Se4 Se 0.3333 0.6667 0.2801 1
Se5 Se 0.6667 0.3333 0.7199 1
Se6 Se 0.6667 0.3333 0.9468 1
```



BeHgSe2 after structural relaxation. Source: Alexandria via LeMat-Bulk, functional PBE-GGA.

Computed properties:
**Uncorrected formation energy**: -0.37 eV per atom
**Magnetic moment**: 0.00 μB/f.u.
**Relative energy among the computed polymorphs**: 0.1023 eV per atom

```
data_BeHgSe2
_chemical_formula_sum 'Be2 Hg2 Se4'
_cell_length_a 6.9294
_cell_length_b 3.9988
_cell_length_c 7.1644
_cell_angle_alpha 90.00
_cell_angle_beta 108.77
_cell_angle_gamma 90.00
_space_group_name_H-M_alt 'P 1'
_space_group_IT_number 1
loop_
_space_group_symop_operation_xyz
'x,y,z'
loop_
_atom_site_label
_atom_site_type_symbol
_atom_site_fract_x
_atom_site_fract_y
_atom_site_fract_z
_atom_site_occupancy
Be1 Be 0.0000 0.0000 0.0000 1
Be2 Be 0.5000 0.5000 0.0000 1
Hg1 Hg 0.4960 0.0000 0.4818 1
Hg2 Hg 0.9960 0.5000 0.4818 1
Se1 Se 0.3651 0.0000 0.0946 1
Se2 Se 0.3937 0.5000 0.6767 1
Se3 Se 0.8651 0.5000 0.0946 1
Se4 Se 0.8937 0.0000 0.6767 1
```



BeHg2Se after structural relaxation. Source: Alexandria via LeMat-Bulk, functional PBE-GGA.

Computed properties:
**Uncorrected formation energy**: -0.03 eV per atom
**Magnetic moment**: 0.00 μB/f.u.
**Relative energy among the computed polymorphs**: 0.2406 eV per atom

```
data_BeHg2Se
_chemical_formula_sum 'Be1 Hg2 Se1'
_cell_length_a 3.2985
_cell_length_b 3.2985
_cell_length_c 8.8534
_cell_angle_alpha 90.00
_cell_angle_beta 90.00
_cell_angle_gamma 90.00
_space_group_name_H-M_alt 'P 1'
_space_group_IT_number 1
loop_
_space_group_symop_operation_xyz
'x,y,z'
loop_
_atom_site_label
_atom_site_type_symbol
_atom_site_fract_x
_atom_site_fract_y
_atom_site_fract_z
_atom_site_occupancy
Be1 Be 0.0000 0.0000 0.0000 1
Hg1 Hg 0.0000 0.0000 0.7147 1
Hg2 Hg 0.5000 0.5000 0.4211 1
Se1 Se 0.5000 0.5000 0.0452 1
```